1.
! AcTbDyCd PBE optimized geometry; values from VASP
! - energy of formation (eV per atom) = 0.08
! - VASP energy (eV/atom) = -3.485
! - space-group type = F-43m (216)
! - total magnetic moment (μB per atom) = 0.000
&SYSTEM
  ibrav = 0, nat = 4, ntyp = 4
/
ATOMIC_SPECIES
Ac 227.00 Ac.upf
Tb 158.93 Tb.upf
Dy 162.50 Dy.upf
Cd 112.41 Cd.upf
ATOMIC_POSITIONS angstrom
Ac 0.000 0.000 0.000
Tb 1.988 1.988 1.988
Dy 5.964 5.964 5.964
Cd 3.976 3.976 3.976
CELL_PARAMETERS angstrom
0.000 3.976 3.976
3.976 0.000 3.976
3.976 3.976 0.000

***

2.
! AcTbDyCd PBE optimized geometry; values from VASP
! - energy of formation (eV per atom) = -0.12
! - VASP energy (eV/atom) = -3.685
! - space-group type = P4mm (99)
! - total magnetic moment (μB per atom) = 0.000
&SYSTEM
  ibrav = 0, nat = 4, ntyp = 4
/
ATOMIC_SPECIES
Ac 227.00 Ac.upf
Tb 158.93 Tb.upf
Dy 162.50 Dy.upf
Cd 112.41 Cd.upf
ATOMIC_POSITIONS angstrom
Ac 0.000 0.000 0.000
Tb 1.888 1.888 6.338
Dy 1.888 1.888 2.632
Cd 0.000 0.000 4.471
CELL_PARAMETERS angstrom
3.775 0.000 0.000
0.000 3.775 0.000
0.000 0.000 8.980

***

3.
! AcDyThCd PBE optimized geometry; values from VASP
! - energy of formation (eV per atom) = 0.15
! - VASP energy (eV/atom) = -4.109
! - space-group type = F-43m (216)
! - total magnetic moment (μB per atom) = 0.000
&SYSTEM
  ibrav = 0, nat = 4, ntyp = 4
/
ATOMIC_SPECIES
Ac 227.00 Ac.upf
Dy 162.50 Dy.upf
Th 232.04 Th.upf
Cd 112.41 Cd.upf
ATOMIC_POSITIONS angstrom
Ac 0.000 0.000 0.000
Dy 5.985 5.985 5.985
Th 1.995 1.995 1.995
Cd 3.990 3.990 3.990
CELL_PARAMETERS angstrom
0.000 3.990 3.990
3.990 0.000 3.990
3.990 3.990 0.000

***

4.
! AcDyTlCd PBE optimized geometry; values from VASP
! - energy of formation (eV per atom) = -0.32
! - VASP energy (eV/atom) = -3.313
! - space-group type = P4mm (99)
! - total magnetic moment (μB per atom) = 0.001
&SYSTEM
  ibrav = 0, nat = 4, ntyp = 4
/
ATOMIC_SPECIES
Ac 227.00 Ac.upf
Dy 162.50 Dy.upf
Tl 204.38 Tl.upf
Cd 112.41 Cd.upf
ATOMIC_POSITIONS angstrom
Ac 0.000 0.000 0.000
Dy 0.000 0.000 3.880
Tl 1.959 1.959 5.671
Cd 1.959 1.959 2.220
CELL_PARAMETERS angstrom
3.917 0.000 0.000
0.000 3.917 0.000
0.000 0.000 7.952

***

5.
! AcDyTlCd PBE optimized geometry; values from VASP
! - energy of formation (eV per atom) = -0.30
! - VASP energy (eV/atom) = -3.293
! - space-group type = F-43m (216)
! - total magnetic moment (μB per atom) = 0.001
&SYSTEM
  ibrav = 0, nat = 4, ntyp = 4
/
ATOMIC_SPECIES
Ac 227.00 Ac.upf
Dy 162.50 Dy.upf
Tl 204.38 Tl.upf
Cd 112.41 Cd.upf
ATOMIC_POSITIONS angstrom
Ac 0.000 0.000 0.000
Dy 3.956 3.956 3.956
Tl 5.934 5.934 5.934
Cd 1.978 1.978 1.978
CELL_PARAMETERS angstrom
0.000 3.956 3.956
3.956 0.000 3.956
3.956 3.956 0.000

***

6.
! AcEr5Cd4 PBE optimized geometry; values from VASP
! - energy of formation (eV per atom) = -0.23
! - VASP energy (eV/atom) = -3.293
! - space-group type = P4/mmm (123)
! - total magnetic moment (μB per atom) = 0.000
&SYSTEM
  ibrav = 0, nat = 10, ntyp = 3
/
ATOMIC_SPECIES
Ac 227.00 Ac.upf
Er 167.26 Er.upf
Cd 112.41 Cd.upf
ATOMIC_POSITIONS angstrom
Ac 0.000 0.000 0.000
Er 1.862 1.862 2.672
Er 1.862 1.862 6.378
Er 1.862 1.862 10.081
Er 1.862 1.862 13.783
Er 1.862 1.862 17.490
Cd 0.000 0.000 4.515
Cd 0.000 0.000 8.212
Cd 0.000 0.000 11.950
Cd 0.000 0.000 15.647
CELL_PARAMETERS angstrom
3.723 0.000 0.000
0.000 3.723 0.000
0.000 0.000 20.162

***

7.
! AcEr3Cd2 PBE optimized geometry; values from VASP
! - energy of formation (eV per atom) = -0.18
! - VASP energy (eV/atom) = -3.454
! - space-group type = P4/mmm (123)
! - total magnetic moment (μB per atom) = 0.000
&SYSTEM
  ibrav = 0, nat = 6, ntyp = 3
/
ATOMIC_SPECIES
Ac 227.00 Ac.upf
Er 167.26 Er.upf
Cd 112.41 Cd.upf
ATOMIC_POSITIONS angstrom
Ac 0.000 0.000 0.000
Er 1.866 1.866 2.672
Er 1.866 1.866 6.356
Er 1.866 1.866 10.041
Cd 0.000 0.000 4.518
Cd 0.000 0.000 8.195
CELL_PARAMETERS angstrom
3.733 0.000 0.000
0.000 3.733 0.000
0.000 0.000 12.713

***

8.
! AcErCd2 PBE optimized geometry; values from VASP
! - energy of formation (eV per atom) = -0.28
! - VASP energy (eV/atom) = -2.910
! - space-group type = P4/mmm (123)
! - total magnetic moment (μB per atom) = 0.001
&SYSTEM
  ibrav = 0, nat = 4, ntyp = 3
/
ATOMIC_SPECIES
Ac 227.00 Ac.upf
Er 167.26 Er.upf
Cd 112.41 Cd.upf
ATOMIC_POSITIONS angstrom
Ac 0.000 0.000 0.000
Er 0.000 0.000 4.016
Cd 1.916 1.916 2.310
Cd 1.916 1.916 5.721
CELL_PARAMETERS angstrom
3.832 0.000 0.000
0.000 3.832 0.000
0.000 0.000 8.031

***

9.
! Ac3ErCd4 PBE optimized geometry; values from VASP
! - energy of formation (eV per atom) = -0.28
! - VASP energy (eV/atom) = -2.847
! - space-group type = P4/mmm (123)
! - total magnetic moment (μB per atom) = 0.009
&SYSTEM
  ibrav = 0, nat = 8, ntyp = 3
/
ATOMIC_SPECIES
Ac 227.00 Ac.upf
Er 167.26 Er.upf
Cd 112.41 Cd.upf
ATOMIC_POSITIONS angstrom
Ac 0.000 0.000 0.000
Ac 0.000 0.000 4.243
Ac 0.000 0.000 11.918
Er 0.000 0.000 8.080
Cd 1.980 1.980 2.099
Cd 1.980 1.980 6.443
Cd 1.980 1.980 9.718
Cd 1.980 1.980 14.062
CELL_PARAMETERS angstrom
3.959 0.000 0.000
0.000 3.959 0.000
0.000 0.000 16.161

***

10.
! AcErCd4 PBE optimized geometry; values from VASP
! - energy of formation (eV per atom) = -0.31
! - VASP energy (eV/atom) = -2.364
! - space-group type = P6/mmm (191)
! - total magnetic moment (μB per atom) = 0.000
&SYSTEM
  ibrav = 0, nat = 6, ntyp = 3
/
ATOMIC_SPECIES
Ac 227.00 Ac.upf
Er 167.26 Er.upf
Cd 112.41 Cd.upf
ATOMIC_POSITIONS angstrom
Ac 0.000 0.000 0.000
Er 0.000 0.000 3.780
Cd 0.000 2.891 2.155
Cd 0.000 2.891 5.405
Cd 2.504 1.446 2.155
Cd 2.504 1.446 5.405
CELL_PARAMETERS angstrom
5.008 0.000 0.000
-2.504 4.337 0.000
0.000 0.000 7.561

***

11.
! AcEr2Cd PBE optimized geometry; values from VASP
! - energy of formation (eV per atom) = 0.15
! - VASP energy (eV/atom) = -3.388
! - space-group type = R-3m (166)
! - total magnetic moment (μB per atom) = 0.000
&SYSTEM
  ibrav = 0, nat = 4, ntyp = 3
/
ATOMIC_SPECIES
Ac 227.00 Ac.upf
Er 167.26 Er.upf
Cd 112.41 Cd.upf
ATOMIC_POSITIONS angstrom
Ac 0.000 0.000 0.000
Er 0.000 0.000 3.555
Er 0.000 0.000 32.384
Cd 0.000 0.000 17.970
CELL_PARAMETERS angstrom
1.786 1.031 11.980
-1.786 1.031 11.980
0.000 -2.063 11.980

***

12.
! AcEr4Cd5 PBE optimized geometry; values from VASP
! - energy of formation (eV per atom) = -0.30
! - VASP energy (eV/atom) = -2.993
! - space-group type = P4/mmm (123)
! - total magnetic moment (μB per atom) = 0.012
&SYSTEM
  ibrav = 0, nat = 10, ntyp = 3
/
ATOMIC_SPECIES
Ac 227.00 Ac.upf
Er 167.26 Er.upf
Cd 112.41 Cd.upf
ATOMIC_POSITIONS angstrom
Ac 0.000 0.000 0.000
Er 0.000 0.000 4.113
Er 0.000 0.000 7.785
Er 0.000 0.000 11.433
Er 0.000 0.000 15.105
Cd 1.878 1.878 2.347
Cd 1.878 1.878 5.941
Cd 1.878 1.878 9.609
Cd 1.878 1.878 13.277
Cd 1.878 1.878 16.871
CELL_PARAMETERS angstrom
3.755 0.000 0.000
0.000 3.755 0.000
0.000 0.000 19.218

***

13.
! AcEr2Cd9 PBE optimized geometry; values from VASP
! - energy of formation (eV per atom) = -0.24
! - VASP energy (eV/atom) = -2.025
! - space-group type = R-3m (166)
! - total magnetic moment (μB per atom) = 0.000
&SYSTEM
  ibrav = 0, nat = 12, ntyp = 3
/
ATOMIC_SPECIES
Ac 227.00 Ac.upf
Er 167.26 Er.upf
Cd 112.41 Cd.upf
ATOMIC_POSITIONS angstrom
Ac 0.000 0.000 0.000
Er 0.000 0.000 4.134
Er 0.000 0.000 24.447
Cd -1.546 -0.892 12.003
Cd 0.000 0.000 9.589
Cd 0.000 -1.785 16.578
Cd -1.546 0.892 16.578
Cd 0.000 0.000 14.290
Cd 1.546 -0.892 12.003
Cd 0.000 1.785 12.003
Cd 0.000 0.000 18.991
Cd 1.546 0.892 16.578
CELL_PARAMETERS angstrom
3.007 1.736 9.527
-3.007 1.736 9.527
0.000 -3.472 9.527

***

14.
! AcEr2Cd PBE optimized geometry; values from VASP
! - energy of formation (eV per atom) = 0.11
! - VASP energy (eV/atom) = -3.429
! - space-group type = Fm-3m (225)
! - total magnetic moment (μB per atom) = 0.103
&SYSTEM
  ibrav = 0, nat = 4, ntyp = 3
/
ATOMIC_SPECIES
Ac 227.00 Ac.upf
Er 167.26 Er.upf
Cd 112.41 Cd.upf
ATOMIC_POSITIONS angstrom
Ac 0.000 0.000 0.000
Er 1.976 1.976 1.976
Er 5.928 5.928 5.928
Cd 3.952 3.952 3.952
CELL_PARAMETERS angstrom
0.000 3.952 3.952
3.952 0.000 3.952
3.952 3.952 0.000

***

15.
! AcEr2Cd PBE optimized geometry; values from VASP
! - energy of formation (eV per atom) = 0.00
! - VASP energy (eV/atom) = -3.540
! - space-group type = R3m (160)
! - total magnetic moment (μB per atom) = 0.000
&SYSTEM
  ibrav = 0, nat = 4, ntyp = 3
/
ATOMIC_SPECIES
Ac 227.00 Ac.upf
Er 167.26 Er.upf
Cd 112.41 Cd.upf
ATOMIC_POSITIONS angstrom
Ac 0.000 0.000 0.000
Er 0.000 0.000 7.863
Er 0.000 0.000 14.056
Cd 0.000 0.000 27.397
CELL_PARAMETERS angstrom
1.851 1.069 10.952
-1.851 1.069 10.952
0.000 -2.138 10.952

***

16.
! Ac3Er2Cd2 PBE optimized geometry; values from VASP
! - energy of formation (eV per atom) = -0.02
! - VASP energy (eV/atom) = -3.342
! - space-group type = Cmmm (65)
! - total magnetic moment (μB per atom) = 0.001
&SYSTEM
  ibrav = 0, nat = 7, ntyp = 3
/
ATOMIC_SPECIES
Ac 227.00 Ac.upf
Er 167.26 Er.upf
Cd 112.41 Cd.upf
ATOMIC_POSITIONS angstrom
Ac 0.000 0.000 0.000
Ac 2.660 8.445 0.000
Ac 2.660 -8.445 0.000
Er 2.660 5.156 1.873
Er 2.660 -5.156 1.873
Cd 2.660 1.765 1.873
Cd 2.660 -1.765 1.873
CELL_PARAMETERS angstrom
2.660 -12.091 0.000
2.660 12.091 0.000
0.000 0.000 3.746

***

17.
! Ac2ErCd PBE optimized geometry; values from VASP
! - energy of formation (eV per atom) = -0.10
! - VASP energy (eV/atom) = -3.522
! - space-group type = P4/mmm (123)
! - total magnetic moment (μB per atom) = 0.000
&SYSTEM
  ibrav = 0, nat = 4, ntyp = 3
/
ATOMIC_SPECIES
Ac 227.00 Ac.upf
Er 167.26 Er.upf
Cd 112.41 Cd.upf
ATOMIC_POSITIONS angstrom
Ac 0.000 0.000 2.100
Ac 0.000 0.000 6.993
Er 1.993 1.993 4.547
Cd 1.993 1.993 0.000
CELL_PARAMETERS angstrom
3.985 0.000 0.000
0.000 3.985 0.000
0.000 0.000 9.093

***

18.
! AcEr3Cd4 PBE optimized geometry; values from VASP
! - energy of formation (eV per atom) = -0.27
! - VASP energy (eV/atom) = -2.953
! - space-group type = P4/mmm (123)
! - total magnetic moment (μB per atom) = 0.000
&SYSTEM
  ibrav = 0, nat = 8, ntyp = 3
/
ATOMIC_SPECIES
Ac 227.00 Ac.upf
Er 167.26 Er.upf
Cd 112.41 Cd.upf
ATOMIC_POSITIONS angstrom
Ac 0.000 0.000 0.000
Er 0.000 0.000 3.877
Er 2.672 2.672 0.000
Er 2.672 2.672 3.877
Cd 0.000 2.672 2.115
Cd 0.000 2.672 5.639
Cd 2.672 0.000 2.115
Cd 2.672 0.000 5.639
CELL_PARAMETERS angstrom
5.344 0.000 0.000
0.000 5.344 0.000
0.000 0.000 7.754

***

19.
! AcEr3Cd2 PBE optimized geometry; values from VASP
! - energy of formation (eV per atom) = -0.12
! - VASP energy (eV/atom) = -3.396
! - space-group type = C2/m (12)
! - total magnetic moment (μB per atom) = 0.000
&SYSTEM
  ibrav = 0, nat = 12, ntyp = 3
/
ATOMIC_SPECIES
Ac 227.00 Ac.upf
Er 167.26 Er.upf
Cd 112.41 Cd.upf
ATOMIC_POSITIONS angstrom
Ac 1.460 0.000 1.490
Ac 11.132 0.000 6.576
Er -1.686 0.000 5.813
Er 4.957 0.000 0.073
Er 4.530 0.000 3.780
Er 8.063 0.000 4.286
Er 7.635 0.000 7.993
Er 14.278 0.000 2.253
Cd 1.417 0.000 4.921
Cd 4.937 0.000 6.753
Cd 7.655 0.000 1.313
Cd 11.175 0.000 3.145
CELL_PARAMETERS angstrom
8.222 -2.740 0.000
8.222 2.740 0.000
-3.853 0.000 8.066

***

20.
! Ac2ErCd PBE optimized geometry; values from VASP
! - energy of formation (eV per atom) = 0.20
! - VASP energy (eV/atom) = -3.221
! - space-group type = R-3m (166)
! - total magnetic moment (μB per atom) = 0.000
&SYSTEM
  ibrav = 0, nat = 4, ntyp = 3
/
ATOMIC_SPECIES
Ac 227.00 Ac.upf
Er 167.26 Er.upf
Cd 112.41 Cd.upf
ATOMIC_POSITIONS angstrom
Ac 0.000 0.000 3.474
Ac 0.000 0.000 35.119
Er 0.000 0.000 19.297
Cd 0.000 0.000 0.000
CELL_PARAMETERS angstrom
1.880 1.085 12.864
-1.880 1.085 12.864
0.000 -2.171 12.864